P:
Here is a geometry-optimized Cu3Ag5 structure from OQMD. Energies are from PBE.

The space group is C2/m (No. 12) and the conventional cell measures 9.722, 5.696 and 4.827 Å, with angles of 90.00, 108.51 and 90.00 degrees. Symmetry generates all atoms from Cu at (0.000, 0.000, 0.000), Cu at (0.247, 0.000, 0.492), Ag at (0.000, 0.244, 0.500), Ag at (0.000, 0.500, 0.000) and Ag at (0.250, 0.250, 0.000).

---

Q:
Here is a geometry-optimized Cu3Ag5 structure from OQMD. Energies are from PBE.

The space group is Amm2 (No. 38) and the conventional cell measures 2.888, 14.743 and 5.896 Å, with angles of 90.00, 90.00 and 90.00 degrees. Symmetry generates all atoms from Cu at (0.000, 0.000, 0.000), Cu at (0.500, 0.124, 0.795), Ag at (0.000, 0.000, 0.558), Ag at (0.000, 0.244, 0.529) and Ag at (0.500, 0.114, 0.259).

---

Tell me which of them is the most stable. Sure, it is Q.

---

P:
Here is a geometry-optimized Cu3Ag5 structure from OQMD. Energies are from PBE.

The space group is Cm (No. 8) and the conventional cell measures 18.250, 2.823 and 4.932 Å, with angles of 90.00, 95.08 and 90.00 degrees. Symmetry generates all atoms from Cu at (0.000, 0.000, 0.000), Cu at (0.003, 0.500, 0.464), Cu at (0.115, 0.000, 0.353), Ag at (0.115, 0.500, 0.852), Ag at (0.242, 0.500, 0.234), Ag at (0.246, 0.000, 0.729), Ag at (0.378, 0.000, 0.109) and Ag at (0.383, 0.500, 0.609).

---

Q:
Here is a geometry-optimized Cu3Ag5 structure from OQMD. Energies are from PBE.

The space group is Pmmm (No. 47) and the conventional cell measures 2.841, 3.826 and 11.570 Å, with angles of 90.00, 90.00 and 90.00 degrees. Symmetry generates all atoms from Cu at (0.000, 0.000, 0.000), Cu at (0.500, 0.500, 0.106), Ag at (0.000, 0.000, 0.227), Ag at (0.000, 0.000, 0.500) and Ag at (0.500, 0.500, 0.363).

---

Tell me which of them is the most stable. Sure, it is Q.

---

P:
Here is a geometry-optimized Cu3Ag5 structure from OQMD. Energies are from PBE.

The space group is Cm (No. 8) and the conventional cell measures 11.976, 2.824 and 9.415 Å, with angles of 90.00, 127.85 and 90.00 degrees. Symmetry generates all atoms from Cu at (0.000, 0.000, 0.000), Cu at (0.005, 0.500, 0.492), Cu at (0.125, 0.000, 0.383), Ag at (0.123, 0.500, 0.880), Ag at (0.243, 0.500, 0.249), Ag at (0.249, 0.000, 0.747), Ag at (0.375, 0.500, 0.613) and Ag at (0.391, 0.000, 0.135).

---

Q:
Here is a geometry-optimized Cu3Ag5 structure from OQMD. Energies are from PBE.

The space group is C2/m (No. 12) and the conventional cell measures 18.921, 2.836 and 4.699 Å, with angles of 90.00, 95.75 and 90.00 degrees. Symmetry generates all atoms from Cu at (0.000, 0.000, 0.000), Cu at (0.107, 0.500, 0.166), Ag at (0.000, 0.500, 0.500), Ag at (0.131, 0.000, 0.686) and Ag at (0.229, 0.000, 0.240).

---

R:
Here is a geometry-optimized Cu3Ag5 structure from OQMD. Energies are from PBE.

The space group is Cmmm (No. 65) and the conventional cell measures 5.691, 11.318 and 3.898 Å, with angles of 90.00, 90.00 and 90.00 degrees. Symmetry generates all atoms from Cu at (0.000, 0.000, 0.000), Cu at (0.000, 0.247, 0.000), Ag at (0.000, 0.500, 0.000) and Ag at (0.245, 0.128, 0.500).

---

Tell me which of them is the most stable. Sure, it is Q.

---

P:
Here is a geometry-optimized Cu3Ag5 structure from OQMD. Energies are from PBE.

The space group is P1 (No. 1) and the conventional cell measures 4.850, 4.873 and 5.660 Å, with angles of 106.90, 90.00 and 100.63 degrees. Symmetry generates all atoms from Cu at (0.000, 0.000, 0.000), Cu at (0.005, 0.995, 0.485), Cu at (0.242, 0.477, 0.361), Ag at (0.245, 0.475, 0.862), Ag at (0.487, 0.990, 0.242), Ag at (0.498, 0.981, 0.735), Ag at (0.760, 0.504, 0.123) and Ag at (0.765, 0.503, 0.613).

---

Q:
Here is a geometry-optimized Cu3Ag5 structure from OQMD. Energies are from PBE.

The space group is Pmm2 (No. 25) and the conventional cell measures 3.806, 5.726 and 5.769 Å, with angles of 90.00, 90.00 and 90.00 degrees. Symmetry generates all atoms from Cu at (0.000, 0.000, 0.000), Cu at (0.500, 0.235, 0.224), Ag at (0.000, 0.000, 0.465), Ag at (0.000, 0.500, 0.002), Ag at (0.000, 0.500, 0.476) and Ag at (0.500, 0.243, 0.745).

---

Tell me which of them is the most stable. Sure, it is Q.

---

P:
Here is a geometry-optimized Cu3Ag5 structure from OQMD. Energies are from PBE.

The space group is I4/mmm (No. 139) and the conventional cell measures 4.013, 4.013 and 15.626 Å, with angles of 90.00, 90.00 and 90.00 degrees. Symmetry generates all atoms from Cu at (0.000, 0.000, 0.000), Cu at (0.000, 0.000, 0.250), Ag at (0.000, 0.000, 0.500) and Ag at (0.000, 0.500, 0.131).

---

Q:
Here is a geometry-optimized Cu3Ag5 structure from OQMD. Energies are from PBE.

The space group is P2/m (No. 10) and the conventional cell measures 5.705, 2.859 and 8.216 Å, with angles of 90.00, 110.09 and 90.00 degrees. Symmetry generates all atoms from Cu at (0.000, 0.000, 0.000), Cu at (0.359, 0.500, 0.236), Ag at (0.112, 0.500, 0.757), Ag at (0.266, 0.000, 0.508) and Ag at (0.500, 0.000, 0.000).

---

R:
Here is a geometry-optimized Cu3Ag5 structure from OQMD. Energies are from PBE.

The space group is Cm (No. 8) and the conventional cell measures 9.443, 2.853 and 9.577 Å, with angles of 90.00, 103.54 and 90.00 degrees. Symmetry generates all atoms from Cu at (0.000, 0.000, 0.000), Cu at (0.003, 0.500, 0.778), Cu at (0.214, 0.500, 0.132), Ag at (0.229, 0.000, 0.377), Ag at (0.252, 0.000, 0.907), Ag at (0.254, 0.500, 0.651), Ag at (0.464, 0.000, 0.234) and Ag at (0.492, 0.500, 0.519).

---

Tell me which of them is the most stable. Sure, it is R.

---

P:
Here is a geometry-optimized Cu3Ag5 structure from OQMD. Energies are from PBE.

The space group is Pmm2 (No. 25) and the conventional cell measures 2.867, 3.788 and 11.643 Å, with angles of 90.00, 90.00 and 90.00 degrees. Symmetry generates all atoms from Cu at (0.000, 0.000, 0.000), Cu at (0.000, 0.000, 0.485), Cu at (0.500, 0.500, 0.377), Ag at (0.000, 0.000, 0.258), Ag at (0.000, 0.000, 0.742), Ag at (0.500, 0.500, 0.121), Ag at (0.500, 0.500, 0.604) and Ag at (0.500, 0.500, 0.879).

---

Q:
Here is a geometry-optimized Cu3Ag5 structure from OQMD. Energies are from PBE.

The space group is C222 (No. 21) and the conventional cell measures 5.603, 7.974 and 5.622 Å, with angles of 90.00, 90.00 and 90.00 degrees. Symmetry generates all atoms from Cu at (0.000, 0.000, 0.000), Cu at (0.250, 0.250, 0.245), Ag at (0.000, 0.000, 0.500), Ag at (0.000, 0.500, 0.000), Ag at (0.000, 0.500, 0.500) and Ag at (0.250, 0.250, 0.759).

---

Tell me which of them is the most stable. Sure, it is P.

---

P:
Here is a geometry-optimized Cu3Ag5 structure from OQMD. Energies are from PBE.

The space group is Cm (No. 8) and the conventional cell measures 11.776, 2.840 and 9.516 Å, with angles of 90.00, 127.80 and 90.00 degrees. Symmetry generates all atoms from Cu at (0.000, 0.000, 0.000), Cu at (0.113, 0.000, 0.334), Cu at (0.227, 0.500, 0.221), Ag at (0.102, 0.500, 0.857), Ag at (0.252, 0.000, 0.744), Ag at (0.349, 0.500, 0.578), Ag at (0.366, 0.000, 0.108) and Ag at (0.493, 0.000, 0.468).

---

Q:
Here is a geometry-optimized Cu3Ag5 structure from OQMD. Energies are from PBE.

The space group is Amm2 (No. 38) and the conventional cell measures 2.879, 5.791 and 15.009 Å, with angles of 90.00, 90.00 and 90.00 degrees. Symmetry generates all atoms from Cu at (0.000, 0.000, 0.000), Cu at (0.500, 0.222, 0.110), Ag at (0.000, 0.000, 0.236), Ag at (0.000, 0.000, 0.505), Ag at (0.000, 0.000, 0.724) and Ag at (0.500, 0.241, 0.871).

---

Tell me which of them is the most stable. Sure, it is Q.

---

P:
Here is a geometry-optimized Cu3Ag5 structure from OQMD. Energies are from PBE.

The space group is C2/m (No. 12) and the conventional cell measures 12.088, 2.818 and 9.368 Å, with angles of 90.00, 128.29 and 90.00 degrees. Symmetry generates all atoms from Cu at (0.000, 0.000, 0.000), Cu at (0.133, 0.000, 0.386), Ag at (0.000, 0.500, 0.500), Ag at (0.113, 0.500, 0.870) and Ag at (0.238, 0.500, 0.248).

---

Q:
Here is a geometry-optimized Cu3Ag5 structure from OQMD. Energies are from PBE.

The space group is C2/m (No. 12) and the conventional cell measures 9.205, 2.849 and 9.789 Å, with angles of 90.00, 100.85 and 90.00 degrees. Symmetry generates all atoms from Cu at (0.000, 0.000, 0.000), Cu at (0.003, 0.500, 0.763), Ag at (0.000, 0.000, 0.500), Ag at (0.243, 0.000, 0.368) and Ag at (0.249, 0.500, 0.123).

---

R:
Here is a geometry-optimized Cu3Ag5 structure from OQMD. Energies are from PBE.

The space group is C2/m (No. 12) and the conventional cell measures 9.384, 2.855 and 9.608 Å, with angles of 90.00, 103.14 and 90.00 degrees. Symmetry generates all atoms from Cu at (0.000, 0.000, 0.000), Cu at (0.227, 0.500, 0.102), Ag at (0.000, 0.000, 0.500), Ag at (0.025, 0.500, 0.775) and Ag at (0.237, 0.000, 0.359).

---

S:
Here is a geometry-optimized Cu3Ag5 structure from OQMD. Energies are from PBE.

The space group is Amm2 (No. 38) and the conventional cell measures 2.861, 15.276 and 5.752 Å, with angles of 90.00, 90.00 and 90.00 degrees. Symmetry generates all atoms from Cu at (0.000, 0.000, 0.000), Cu at (0.500, 0.123, 0.781), Ag at (0.000, 0.000, 0.546), Ag at (0.000, 0.246, 0.519) and Ag at (0.500, 0.116, 0.255).

---

Tell me which of them is the most stable. Sure, it is R.